The following is a DFT calculation (PBE) of a geometry-optimized TlInRe2O8 structure.

Lattice parameters (Å, degrees): 6.2779 6.2779 8.4469 90.00 90.00 120.00
With the nearest neighbours (Å) after each atom.
Element x y z (fractional)
1 Tl 0.0000 0.0000 0.0000  6 O 2.97
2 In 0.0000 0.0000 0.5000  6 O 2.79
3 Re 0.3333 0.6667 0.8028  4 O 1.75-1.76
4 Re 0.6667 0.3333 0.1972  4 O 1.75-1.76
5 O 0.1784 0.3601 0.7354  1 Re 1.76
6 O 0.1817 0.8216 0.7354  1 Re 1.76
7 O 0.3333 0.6667 0.0097  1 Re 1.75
8 O 0.3601 0.1817 0.2646  1 Re 1.76
9 O 0.6399 0.8183 0.7354  1 Re 1.76
10 O 0.6667 0.3333 0.9903  1 Re 1.75
11 O 0.8183 0.1784 0.2646  1 Re 1.76
12 O 0.8216 0.6399 0.2646  1 Re 1.76

Properties
Energy relative to the elements, uncorrected = -1.4838 eV/atom
Total DFT energy (no corrections) = -87.5 eV/cell
Volume = 24.03 Å³/atom

The following is a DFT calculation (PBE) of a geometry-optimized InRhO3 structure.

Lattice parameters (Å, degrees): 7.7186 7.7042 10.7921 90.00 134.34 90.00
With the nearest neighbours (Å) after each atom.
Element x y z (fractional)
1 In 0.0447 0.2342 0.2759  6 O 2.15-2.33
2 In 0.0447 0.2658 0.7760  6 O 2.15-2.33
3 In 0.4522 0.7451 0.7300  6 O 2.16-2.32
4 In 0.4522 0.7549 0.2300  6 O 2.16-2.32
5 In 0.5478 0.2451 0.7700  6 O 2.16-2.32
6 In 0.5478 0.2549 0.2700  6 O 2.16-2.32
7 In 0.9553 0.7342 0.2240  6 O 2.15-2.33
8 In 0.9553 0.7658 0.7240  6 O 2.15-2.33
9 Rh 0.0000 0.0000 0.0000  6 O 2.06-2.10
10 Rh 0.0000 0.0000 0.5000  6 O 2.07-2.09
11 Rh 0.0000 0.5000 0.0000  6 O 2.07-2.09
12 Rh 0.0000 0.5000 0.5000  6 O 2.06-2.10
13 Rh 0.5000 0.0000 0.0000  6 O 2.07-2.12
14 Rh 0.5000 0.0000 0.5000  6 O 2.10-2.14
15 Rh 0.5000 0.5000 0.0000  6 O 2.10-2.14
16 Rh 0.5000 0.5000 0.5000  6 O 2.07-2.12
17 O 0.0726 0.7475 0.9725  2 Rh 2.07-2.10, 2 In 2.15-2.22
18 O 0.0726 0.7525 0.4725  2 Rh 2.07-2.10, 2 In 2.15-2.22
19 O 0.1452 0.5382 0.7486  2 Rh 2.08-2.14, 2 In 2.18-2.33
20 O 0.1452 0.9618 0.2486  2 Rh 2.08-2.14, 2 In 2.18-2.33
21 O 0.2244 0.5968 0.2516  2 Rh 2.07-2.09, 2 In 2.16-2.28
22 O 0.2244 0.9032 0.7516  2 Rh 2.07-2.09, 2 In 2.16-2.28
23 O 0.2824 0.0974 0.5350  2 Rh 2.08-2.10, 2 In 2.16-2.26
24 O 0.2824 0.4026 0.0350  2 Rh 2.08-2.10, 2 In 2.16-2.26
25 O 0.3451 0.0271 0.1013  2 Rh 2.06-2.12, 1 In 2.20
26 O 0.3451 0.4729 0.6013  2 Rh 2.06-2.12, 1 In 2.20
27 O 0.4226 0.2490 0.8980  2 Rh 2.08-2.10, 2 In 2.17-2.21
28 O 0.4226 0.2510 0.3980  2 Rh 2.08-2.10, 2 In 2.17-2.21
29 O 0.5774 0.7490 0.6020  2 Rh 2.08-2.10, 2 In 2.17-2.21
30 O 0.5774 0.7510 0.1020  2 Rh 2.08-2.10, 2 In 2.17-2.21
31 O 0.6549 0.5271 0.3987  2 Rh 2.06-2.12, 1 In 2.20
32 O 0.6549 0.9729 0.8987  2 Rh 2.06-2.12, 1 In 2.20
33 O 0.7176 0.5974 0.9650  2 Rh 2.08-2.10, 2 In 2.16-2.26
34 O 0.7176 0.9026 0.4650  2 Rh 2.08-2.10, 2 In 2.16-2.26
35 O 0.7756 0.0968 0.2484  2 Rh 2.07-2.09, 2 In 2.16-2.28
36 O 0.7756 0.4032 0.7484  2 Rh 2.07-2.09, 2 In 2.16-2.28
37 O 0.8548 0.0382 0.7514  2 Rh 2.08-2.14, 2 In 2.18-2.33
38 O 0.8548 0.4618 0.2514  2 Rh 2.08-2.14, 2 In 2.18-2.33
39 O 0.9274 0.2475 0.5275  2 Rh 2.07-2.10, 2 In 2.15-2.22
40 O 0.9274 0.2525 0.0275  2 Rh 2.07-2.10, 2 In 2.15-2.22

Properties
Energy relative to the elements, uncorrected = -1.0900 eV/atom
Total DFT energy (no corrections) = -243.3 eV/cell
Volume = 11.47 Å³/atom

The following is a DFT calculation (PBE) of a geometry-optimized InRhO3 structure.

Lattice parameters (Å, degrees): 5.4912 7.9064 5.3263 90.00 90.00 90.00
With the nearest neighbours (Å) after each atom.
Element x y z (fractional)
1 In 0.0611 0.2500 0.0270  6 O 2.19-2.36
2 In 0.4389 0.7500 0.5270  6 O 2.19-2.36
3 In 0.5611 0.2500 0.4730  6 O 2.19-2.36
4 In 0.9389 0.7500 0.9730  6 O 2.19-2.36
5 Rh 0.0000 0.0000 0.5000  6 O 2.05-2.14
6 Rh 0.0000 0.5000 0.5000  6 O 2.05-2.14
7 Rh 0.5000 0.0000 0.0000  6 O 2.05-2.14
8 Rh 0.5000 0.5000 0.0000  6 O 2.05-2.14
9 O 0.0694 0.7500 0.3620  2 Rh 2.14, 2 In 2.19-2.21
10 O 0.2043 0.5803 0.7986  2 Rh 2.05, 1 In 2.19
11 O 0.2043 0.9197 0.7986  2 Rh 2.05, 1 In 2.19
12 O 0.2957 0.0803 0.2986  2 Rh 2.05, 1 In 2.19
13 O 0.2957 0.4197 0.2986  2 Rh 2.05, 1 In 2.19
14 O 0.4306 0.2500 0.8620  2 Rh 2.14, 2 In 2.19-2.21
15 O 0.5694 0.7500 0.1380  2 Rh 2.14, 2 In 2.19-2.21
16 O 0.7043 0.5803 0.7014  2 Rh 2.05, 1 In 2.19
17 O 0.7043 0.9197 0.7014  2 Rh 2.05, 1 In 2.19
18 O 0.7957 0.0803 0.2014  2 Rh 2.05, 1 In 2.19
19 O 0.7957 0.4197 0.2014  2 Rh 2.05, 1 In 2.19
20 O 0.9306 0.2500 0.6380  2 Rh 2.14, 2 In 2.19-2.21

Properties
Energy relative to the elements, uncorrected = -1.0571 eV/atom
Total DFT energy (no corrections) = -121.0 eV/cell
Volume = 11.56 Å³/atom

The following is a DFT calculation (PBE) of a geometry-optimized InRhO3 structure.

Lattice parameters (Å, degrees): 5.5097 8.3007 5.3237 90.00 90.00 90.00
With the nearest neighbours (Å) after each atom.
Element x y z (fractional)
1 In 0.0000 0.0000 0.0000  6 O 2.14-2.35
2 In 0.0000 0.5000 0.0000  6 O 2.14-2.35
3 In 0.5000 0.0000 0.5000  6 O 2.14-2.35
4 In 0.5000 0.5000 0.5000  6 O 2.14-2.35
5 Rh 0.0520 0.2500 0.4932  4 O 2.01-2.04
6 Rh 0.4480 0.7500 0.9932  4 O 2.01-2.04
7 Rh 0.5520 0.2500 0.0068  4 O 2.01-2.04
8 Rh 0.9480 0.7500 0.5068  4 O 2.01-2.04
9 O 0.1180 0.7500 0.1661  2 Rh 2.04
10 O 0.1830 0.5991 0.6751  1 Rh 2.01, 2 In 2.14-2.16
11 O 0.1830 0.9009 0.6751  1 Rh 2.01, 2 In 2.14-2.16
12 O 0.3170 0.0991 0.1751  1 Rh 2.01, 2 In 2.14-2.16
13 O 0.3170 0.4009 0.1751  1 Rh 2.01, 2 In 2.14-2.16
14 O 0.3820 0.2500 0.6661  2 Rh 2.04
15 O 0.6180 0.7500 0.3339  2 Rh 2.04
16 O 0.6830 0.5991 0.8249  1 Rh 2.01, 2 In 2.14-2.16
17 O 0.6830 0.9009 0.8249  1 Rh 2.01, 2 In 2.14-2.16
18 O 0.8170 0.0991 0.3249  1 Rh 2.01, 2 In 2.14-2.16
19 O 0.8170 0.4009 0.3249  1 Rh 2.01, 2 In 2.14-2.16
20 O 0.8820 0.2500 0.8339  2 Rh 2.04

Properties
Energy relative to the elements, uncorrected = -0.7966 eV/atom
Total DFT energy (no corrections) = -115.8 eV/cell
Volume = 12.17 Å³/atom

The following is a DFT calculation (PBE) of a geometry-optimized InRhO2 structure.

Lattice parameters (Å, degrees): 6.0477 6.0477 6.0477 130.06 130.06 73.30
With the nearest neighbours (Å) after each atom.
Element x y z (fractional)
1 In 0.0000 0.0000 0.0000  4 O 2.12
2 In 0.7500 0.2500 0.5000  4 O 2.12
3 Rh 0.2500 0.7500 0.5000  4 O 2.23
4 Rh 0.5000 0.5000 0.0000  4 O 2.23
5 O 0.1065 0.6250 0.9815  2 In 2.12, 2 Rh 2.23
6 O 0.3750 0.3565 0.4815  2 In 2.12, 2 Rh 2.23
7 O 0.6435 0.1250 0.0185  2 In 2.12, 2 Rh 2.23
8 O 0.8750 0.8935 0.5185  2 In 2.12, 2 Rh 2.23

Properties
Energy relative to the elements, uncorrected = -0.4122 eV/atom
Total DFT energy (no corrections) = -43.3 eV/cell
Volume = 15.81 Å³/atom

The following is a DFT calculation (PBE) of a geometry-optimized InRhO3 structure.

Lattice parameters (Å, degrees): 4.0977 4.0977 4.0977 90.00 90.00 90.00
With the nearest neighbours (Å) after each atom.
Element x y z (fractional)
1 In 0.0000 0.0000 0.0000  6 O 2.05
2 Rh 0.5000 0.5000 0.5000  12 O 2.90
3 O 0.0000 0.0000 0.5000  2 In 2.05
4 O 0.0000 0.5000 0.0000  2 In 2.05
5 O 0.5000 0.0000 0.0000  2 In 2.05

Properties
Energy relative to the elements, uncorrected = 0.1113 eV/atom
Total DFT energy (no corrections) = -24.4 eV/cell
Volume = 13.76 Å³/atom

The following is a DFT calculation (PBE) of a geometry-optimized InRhO3 structure.

Lattice parameters (Å, degrees): 6.7654 6.7654 6.1181 94.44 94.44 27.70
With the nearest neighbours (Å) after each atom.
Element x y z (fractional)
1 In 0.1439 0.1439 0.3942  5 O 2.10-2.30
2 In 0.8561 0.8561 0.6058  5 O 2.10-2.30
3 Rh 0.4263 0.4263 0.1146  4 O 2.03-2.04
4 Rh 0.5737 0.5737 0.8854  4 O 2.03-2.04
5 O 0.0170 0.0170 0.7148  2 Rh 2.04, 1 In 2.17
6 O 0.1392 0.1392 0.0407  2 Rh 2.03, 1 In 2.16
7 O 0.3190 0.3190 0.3961  3 In 2.10-2.30, 1 Rh 2.31
8 O 0.6810 0.6810 0.6039  3 In 2.10-2.30, 1 Rh 2.31
9 O 0.8608 0.8608 0.9593  2 Rh 2.03, 1 In 2.16
10 O 0.9830 0.9830 0.2852  2 Rh 2.04, 1 In 2.17

Properties
Energy relative to the elements, uncorrected = -0.9260 eV/atom
Total DFT energy (no corrections) = -59.2 eV/cell
Volume = 12.97 Å³/atom

The following is a DFT calculation (PBE) of a geometry-optimized In2Rh2O7 structure.

Lattice parameters (Å, degrees): 7.1396 7.1396 7.1396 60.00 60.00 60.00
With the nearest neighbours (Å) after each atom.
Element x y z (fractional)
1 In 0.0000 0.0000 0.0000  8 O 2.19-2.42
2 In 0.0000 0.0000 0.5000  8 O 2.19-2.42
3 In 0.0000 0.5000 0.0000  8 O 2.19-2.42
4 In 0.5000 0.0000 0.0000  8 O 2.19-2.42
5 Rh 0.0000 0.5000 0.5000  6 O 1.99
6 Rh 0.5000 0.0000 0.5000  6 O 1.99
7 Rh 0.5000 0.5000 0.0000  6 O 1.99
8 Rh 0.5000 0.5000 0.5000  6 O 1.99
9 O 0.1250 0.1250 0.1250  4 In 2.19
10 O 0.1624 0.1624 0.5876  2 Rh 1.99
11 O 0.1624 0.5876 0.1624  2 Rh 1.99
12 O 0.1624 0.5876 0.5876  2 Rh 1.99
13 O 0.4124 0.4124 0.8376  2 Rh 1.99
14 O 0.4124 0.8376 0.4124  2 Rh 1.99
15 O 0.4124 0.8376 0.8376  2 Rh 1.99
16 O 0.5876 0.1624 0.1624  2 Rh 1.99
17 O 0.5876 0.1624 0.5876  2 Rh 1.99
18 O 0.5876 0.5876 0.1624  2 Rh 1.99
19 O 0.8376 0.4124 0.4124  2 Rh 1.99
20 O 0.8376 0.4124 0.8376  2 Rh 1.99
21 O 0.8376 0.8376 0.4124  2 Rh 1.99
22 O 0.8750 0.8750 0.8750  4 In 2.19

Properties
Energy relative to the elements, uncorrected = -1.0906 eV/atom
Total DFT energy (no corrections) = -133.8 eV/cell
Volume = 11.70 Å³/atom

The following is a DFT calculation (PBE) of a geometry-optimized InRh2O structure.

Lattice parameters (Å, degrees): 7.1649 7.1649 7.1649 140.94 140.94 56.43
With the nearest neighbours (Å) after each atom.
Element x y z (fractional)
1 In 0.0000 0.0000 0.0000  4 Rh 2.80
2 In 0.7500 0.2500 0.5000  4 Rh 2.80
3 Rh 0.2884 0.6250 0.1634  2 O 2.02
4 Rh 0.3750 0.5384 0.6634  2 O 2.02
5 Rh 0.4616 0.1250 0.8366  2 O 2.02
6 Rh 0.8750 0.7116 0.3366  2 O 2.02
7 O 0.2500 0.7500 0.5000  4 Rh 2.02
8 O 0.5000 0.5000 0.0000  4 Rh 2.02

Properties
Energy above the most stable polymorph in this dataset = 0.00 kJ/mol of atoms
Energy relative to the elements, uncorrected = -0.0953 eV/atom
Total DFT energy (no corrections) = -45.6 eV/cell
Volume = 18.11 Å³/atom